*P*
Here is a relaxed Tc2Os crystal from the Alexandria database. Energies are from PBE.

The structure in POSCAR format:
```
Tc2Os
1.0
1.381 -7.181 0.000
1.381 7.181 0.000
0.000 0.000 4.369
Tc Os
4 2
direct
0.055 0.945 0.750
0.388 0.612 0.750
0.612 0.388 0.250
0.945 0.055 0.250
0.278 0.722 0.250
0.722 0.278 0.750
```

Results
DOS(E_F)   0.89 states/eV per atom
Crystal system   orthorhombic
Space group   Cmcm, No. 63



*Q*
Here is a relaxed Tc2Os crystal from the Alexandria database. Energies are from PBE.

The structure in POSCAR format:
```
Tc2Os
1.0
-1.372 1.372 11.996
1.372 -1.372 11.996
1.372 1.372 -11.996
Tc Os
4 2
direct
0.297 0.547 0.750
0.453 0.703 0.750
0.547 0.297 0.250
0.703 0.453 0.250
0.125 0.875 0.250
0.875 0.125 0.750
```

Results
DOS(E_F)   1.22 states/eV per atom
Crystal system   tetragonal
Space group   I4_1/amd, No. 141



Most stable one: *P*, least stable one: *Q*.



*P*
Here is a relaxed Tl2InSe crystal from the Alexandria database. Energies are from PBE.

The structure in POSCAR format:
```
Tl2InSe
1.0
-3.515 3.515 6.315
3.515 -3.515 6.315
3.515 3.515 -6.315
Tl In Se
4 2 2
direct
0.110 0.625 0.985
0.375 0.360 0.485
0.640 0.125 0.015
0.875 0.890 0.515
0.250 0.750 0.500
0.500 0.500 0.000
0.000 0.000 0.000
0.750 0.250 0.500
```

Results
DOS(E_F)   0.48 states/eV per atom
Crystal system   tetragonal
Space group   I-42d, No. 122



*Q*
Here is a relaxed Tl2InSe crystal from the Alexandria database. Energies are from PBE.

The structure in POSCAR format:
```
Tl2InSe
1.0
2.067 1.193 8.477
-2.067 1.193 8.477
0.000 -2.386 8.477
Tl In Se
2 1 1
direct
0.000 0.000 0.000
0.189 0.189 0.189
0.761 0.761 0.761
0.594 0.594 0.594
```

Results
DOS(E_F)   0.52 states/eV per atom
Crystal system   trigonal
Space group   R3m, No. 160



Most stable one: *Q*, least stable one: *P*.



*P*
Here is a relaxed Y2Tc crystal from the Alexandria database. Energies are from PBE.

The structure in POSCAR format:
```
Y2Tc
1.0
6.840 0.000 0.000
0.000 6.923 0.000
0.000 0.000 3.460
Y Tc
4 2
direct
0.223 0.168 0.000
0.277 0.668 0.500
0.723 0.332 0.500
0.777 0.832 0.000
0.000 0.500 0.000
0.500 0.000 0.500
```

Results
DOS(E_F)   1.37 states/eV per atom
Crystal system   orthorhombic
Space group   Pnnm, No. 58



*Q*
Here is a relaxed Y2Tc crystal from the Alexandria database. Energies are from PBE.

The structure in POSCAR format:
```
Y2Tc
1.0
4.895 0.000 0.000
0.000 4.895 0.000
0.000 0.000 3.335
Y Tc
2 1
direct
0.000 0.500 0.000
0.500 0.000 0.000
0.000 0.000 0.500
```

Results
DOS(E_F)   1.00 states/eV per atom
Crystal system   tetragonal
Space group   P4/mmm, No. 123



Most stable one: *P*, least stable one: *Q*.



*P*
Here is a relaxed ScHg2Mo crystal from the Alexandria database. Energies are from PBE.

The structure in POSCAR format:
```
ScHg2Mo
1.0
3.184 0.000 0.000
0.000 4.033 0.000
0.000 0.000 6.198
Sc Hg Mo
1 2 1
direct
0.000 0.000 0.000
0.000 0.000 0.529
0.500 0.500 0.260
0.500 0.500 0.767
```

Results
DOS(E_F)   0.81 states/eV per atom
Crystal system   orthorhombic
Space group   Pmm2, No. 25



*Q*
Here is a relaxed ScHg2Mo crystal from the Alexandria database. Energies are from PBE.

The structure in POSCAR format:
```
ScHg2Mo
1.0
-2.076 2.076 4.555
2.076 -2.076 4.555
2.076 2.076 -4.555
Sc Hg Mo
1 2 1
direct
0.000 0.000 0.000
0.250 0.750 0.500
0.500 0.500 0.000
0.750 0.250 0.500
```

Results
DOS(E_F)   1.12 states/eV per atom
Crystal system   tetragonal
Space group   I-4m2, No. 119



Most stable one: *P*, least stable one: *Q*.



*P*
Here is a relaxed BiBIr3 crystal from the Alexandria database. Energies are from PBE.

The structure in POSCAR format:
```
BiBIr3
1.0
5.026 0.000 0.000
0.000 5.026 0.000
0.000 0.000 5.026
Bi B Ir
1 1 3
direct
0.000 0.000 0.000
0.500 0.500 0.500
0.000 0.000 0.500
0.000 0.500 0.000
0.500 0.000 0.000
```

Results
DOS(E_F)   0.78 states/eV per atom
Crystal system   cubic
Space group   Pm-3m, No. 221



*Q*
Here is a relaxed BiBIr3 crystal from the Alexandria database. Energies are from PBE.

The structure in POSCAR format:
```
BiBIr3
1.0
4.286 0.000 0.000
0.000 4.286 0.000
0.000 0.000 4.286
Bi B Ir
1 1 3
direct
0.000 0.000 0.000
0.500 0.500 0.500
0.000 0.500 0.500
0.500 0.000 0.500
0.500 0.500 0.000
```

Results
DOS(E_F)   1.05 states/eV per atom
Crystal system   cubic
Space group   Pm-3m, No. 221



Most stable one: *Q*, least stable one: *P*.